Record 1
The following is a DFT calculation (meta-GGA SCAN) of a PBEsol-optimized structure of SrCr2Pb. Values from VASP.

Structure (Quantum ESPRESSO input):
```
&SYSTEM
  ibrav = 0, nat = 4, ntyp = 3
/
ATOMIC_SPECIES
Sr 87.62 Sr.upf
Cr 52.00 Cr.upf
Pb 207.20 Pb.upf
CELL_PARAMETERS angstrom
-0.606 2.055 -2.504
-1.163 -2.515 -1.783
-7.216 1.326 2.836
ATOMIC_POSITIONS crystal
Sr 0.000 0.000 0.777
Cr 0.500 0.500 0.085
Cr 0.000 0.000 0.194
Pb 0.500 0.500 0.444
```

Results
V: 85 Å³ per cell
Formation energy from the elements: 0.13 eV/atom
Magnetic moment: 0.11 Bohr magnetons per cell

Record 2
The following is a DFT calculation (meta-GGA SCAN) of a PBEsol-optimized structure of TaCrPb2. Values from VASP.

Structure (Quantum ESPRESSO input):
```
&SYSTEM
  ibrav = 0, nat = 4, ntyp = 3
/
ATOMIC_SPECIES
Pb 207.20 Pb.upf
Cr 52.00 Cr.upf
Ta 180.95 Ta.upf
CELL_PARAMETERS angstrom
3.128 0.000 0.000
-1.564 4.794 -0.037
0.000 -1.188 5.505
ATOMIC_POSITIONS crystal
Pb 0.247 0.494 0.250
Pb 0.753 0.506 0.750
Cr 0.500 0.000 0.000
Ta 0.000 0.000 0.500
```

Results
V: 82 Å³ per cell
Formation energy from the elements: 0.57 eV/atom
Magnetic moment: 3.41 Bohr magnetons per cell
Polymorph energy (0 for the lowest one): 0.19 eV per formula unit

Record 3
The following is a DFT calculation (meta-GGA SCAN) of a PBEsol-optimized structure of TaCrPb2. Values from VASP.

Structure (Quantum ESPRESSO input):
```
&SYSTEM
  ibrav = 0, nat = 4, ntyp = 3
/
ATOMIC_SPECIES
Pb 207.20 Pb.upf
Ta 180.95 Ta.upf
Cr 52.00 Cr.upf
CELL_PARAMETERS angstrom
-1.931 1.543 1.802
1.151 -2.721 3.562
4.787 4.374 -1.211
ATOMIC_POSITIONS crystal
Pb 0.959 0.959 0.917
Pb 0.739 0.239 0.478
Ta 0.570 0.570 0.141
Cr 0.232 0.732 0.464
```

Results
V: 85 Å³ per cell
Formation energy from the elements: 0.57 eV/atom
Magnetic moment: 1.31 Bohr magnetons per cell
Polymorph energy (0 for the lowest one): 0.18 eV per formula unit

Record 4
The following is a DFT calculation (meta-GGA SCAN) of a PBEsol-optimized structure of TaCrPb. Values from VASP.

Structure (Quantum ESPRESSO input):
```
&SYSTEM
  ibrav = 0, nat = 3, ntyp = 3
/
ATOMIC_SPECIES
Cr 52.00 Cr.upf
Pb 207.20 Pb.upf
Ta 180.95 Ta.upf
CELL_PARAMETERS angstrom
-2.936 -0.952 -0.097
2.089 -1.598 1.619
-1.413 3.791 5.567
ATOMIC_POSITIONS crystal
Cr 0.000 0.000 0.019
Pb 0.333 0.667 0.674
Ta 0.667 0.333 0.307
```

Results
V: 57 Å³ per cell
Formation energy from the elements: 0.54 eV/atom
Magnetic moment: 3.25 Bohr magnetons per cell
Polymorph energy (0 for the lowest one): 0.15 eV per formula unit

Question: What is the formula in the third record?
Answer: TaCrPb2

Question: magnetic moment of number 2 (TaCrPb2)?
Answer: 3.41 Bohr magnetons per cell

Question: The lowest magnetic moment belongs to which entry?
Answer: SrCr2Pb